Record 1
# SrAgP | Alexandria | PBE-GGA | relaxed
# total magnetization: 0.0 μB per formula unit
# crystal system: tetragonal
# electronic total energy: -0.146 hartree per atom
# DOS(E_F): 0.000 states/eV/cell
data_SrAgP
_chemical_formula_sum 'Sr2 Ag2 P2'
_space_group_name_H-M_alt 'P 4/n m m'
_space_group_IT_number 129
_cell_length_a 4.3635
_cell_length_b 4.3635
_cell_length_c 7.3319
_cell_angle_alpha 90.00
_cell_angle_beta 90.00
_cell_angle_gamma 90.00
loop_
_space_group_symop_operation_xyz
'x,y,z'
'-x,-y,-z'
'-y+1/2,x,z'
'y+1/2,-x,-z'
'-x+1/2,-y+1/2,z'
'x+1/2,y+1/2,-z'
'y,-x+1/2,z'
'-y,x+1/2,-z'
'x+1/2,-y,-z'
'-x+1/2,y,z'
'-y,-x,-z'
'y,x,z'
'-x,y+1/2,-z'
'x,-y+1/2,z'
'y+1/2,x+1/2,-z'
'-y+1/2,-x+1/2,z'
loop_
_atom_site_label
_atom_site_fract_x
_atom_site_fract_y
_atom_site_fract_z
Sr1 0.2500 0.2500 0.1719
Ag1 0.2500 0.7500 0.5000
P1 0.2500 0.2500 0.7364



Record 2
# Sr2AgP2 | Alexandria | PBE-GGA | relaxed
# total magnetization: 0.0 μB per formula unit
# polymorph energy (0 for the lowest one): 0 meV per atom
# crystal system: tetragonal
# DOS(E_F): 5.511 states/eV/cell
data_Sr2AgP2
_chemical_formula_sum 'Sr4 Ag2 P4'
_space_group_name_H-M_alt 'P 4/m b m'
_space_group_IT_number 127
_space_group_name_Hall '-P 4 2ab'
_cell_length_a 7.6499
_cell_length_b 7.6499
_cell_length_c 4.2881
_cell_angle_alpha 90.00
_cell_angle_beta 90.00
_cell_angle_gamma 90.00
loop_
_atom_site_label
_atom_site_fract_x
_atom_site_fract_y
_atom_site_fract_z
Sr1 0.1507 0.3493 0.0000
Ag1 0.0000 0.0000 0.5000
P1 0.1582 0.6582 0.5000



Record 3
# SrAgP | Alexandria | PBE-GGA | relaxed
# total magnetization: 0.0 μB per formula unit
# crystal system: monoclinic
# electronic total energy: -0.145 hartree per atom
# DOS(E_F): 0.017 states/eV/cell
data_SrAgP
_chemical_formula_sum 'Sr4 Ag4 P4'
_space_group_name_H-M_alt 'C 1 2/m 1'
_space_group_IT_number 12
_cell_length_a 11.4654
_cell_length_b 4.3930
_cell_length_c 7.7303
_cell_angle_alpha 90.00
_cell_angle_beta 132.34
_cell_angle_gamma 90.00
loop_
_space_group_symop_operation_xyz
'x,y,z'
'-x,-y,-z'
'-x,y,-z'
'x,-y,z'
'x+1/2,y+1/2,z'
'-x+1/2,-y+1/2,-z'
'-x+1/2,y+1/2,-z'
'x+1/2,-y+1/2,z'
loop_
_atom_site_label
_atom_site_fract_x
_atom_site_fract_y
_atom_site_fract_z
Sr1 0.2479 0.0000 0.2485
Ag1 0.0006 0.5000 0.8222
P1 0.0001 0.0000 0.3507



Record 4
# Sr2AgP | Alexandria | PBE-GGA | relaxed
# total magnetization: 0.0 μB per formula unit
# crystal system: orthorhombic
# electronic total energy: -0.125 hartree per atom
# DOS(E_F): 3.215 states/eV/cell
data_Sr2AgP
_chemical_formula_sum 'Sr4 Ag2 P2'
_space_group_name_H-M_alt 'I m m 2'
_space_group_IT_number 44
_cell_length_a 4.2535
_cell_length_b 4.3320
_cell_length_c 13.7624
_cell_angle_alpha 90.00
_cell_angle_beta 90.00
_cell_angle_gamma 90.00
loop_
_space_group_symop_operation_xyz
'x,y,z'
'-x,-y,z'
'-x,y,z'
'x,-y,z'
'x+1/2,y+1/2,z+1/2'
'-x+1/2,-y+1/2,z+1/2'
'-x+1/2,y+1/2,z+1/2'
'x+1/2,-y+1/2,z+1/2'
loop_
_atom_site_label
_atom_site_fract_x
_atom_site_fract_y
_atom_site_fract_z
Sr1 0.0000 0.0000 0.0000
Sr2 0.0000 0.5000 0.2557
Ag1 0.0000 0.0000 0.4422
P1 0.0000 0.5000 0.8230



Record 5
# SrAgP | Alexandria | PBE-GGA | relaxed
# total magnetization: 0.0 μB per formula unit
# crystal system: orthorhombic
# electronic total energy: -0.144 hartree per atom
# DOS(E_F): 1.287 states/eV/cell
data_SrAgP
_chemical_formula_sum 'Sr2 Ag2 P2'
_space_group_name_H-M_alt 'P m m m'
_space_group_IT_number 47
_cell_length_a 4.3457
_cell_length_b 4.3791
_cell_length_c 7.6174
_cell_angle_alpha 90.00
_cell_angle_beta 90.00
_cell_angle_gamma 90.00
loop_
_space_group_symop_operation_xyz
'x,y,z'
'-x,-y,-z'
'-x,-y,z'
'x,y,-z'
'x,-y,-z'
'-x,y,z'
'-x,y,-z'
'x,-y,z'
loop_
_atom_site_label
_atom_site_fract_x
_atom_site_fract_y
_atom_site_fract_z
Sr1 0.0000 0.0000 0.0000
Sr2 0.0000 0.5000 0.5000
Ag1 0.5000 0.0000 0.3203
P1 0.5000 0.5000 0.1508



Record 6
# Sr2AgP | Alexandria | PBE-GGA | relaxed
# total magnetization: 0.0 μB per formula unit
# crystal system: orthorhombic
# electronic total energy: -0.131 hartree per atom
# DOS(E_F): 0.886 states/eV/cell
data_Sr2AgP
_chemical_formula_sum 'Sr4 Ag2 P2'
_space_group_name_H-M_alt 'A m m 2'
_space_group_IT_number 38
_cell_length_a 4.5134
_cell_length_b 4.3459
_cell_length_c 11.6388
_cell_angle_alpha 90.00
_cell_angle_beta 90.00
_cell_angle_gamma 90.00
loop_
_space_group_symop_operation_xyz
'x,y,z'
'-x,-y,z'
'-x,y,z'
'x,-y,z'
'x,y+1/2,z+1/2'
'-x,-y+1/2,z+1/2'
'-x,y+1/2,z+1/2'
'x,-y+1/2,z+1/2'
loop_
_atom_site_label
_atom_site_fract_x
_atom_site_fract_y
_atom_site_fract_z
Sr1 0.0000 0.0000 0.0000
Sr2 0.5000 0.0000 0.2765
Ag1 0.0000 0.0000 0.7053
P1 0.5000 0.0000 0.5575



Record 7
# Sr2AgP | Alexandria | PBE-GGA | relaxed
# total magnetization: 0.0 μB per formula unit
# crystal system: trigonal
# electronic total energy: -0.132 hartree per atom
data_Sr2AgP
_chemical_formula_sum 'Sr6 Ag3 P3'
_space_group_name_H-M_alt 'R -3 m'
_space_group_IT_number 166
_space_group_name_Hall '-R 3 2"'
_cell_length_a 4.4969
_cell_length_b 4.4969
_cell_length_c 22.9429
_cell_angle_alpha 90.00
_cell_angle_beta 90.00
_cell_angle_gamma 120.00
loop_
_atom_site_label
_atom_site_fract_x
_atom_site_fract_y
_atom_site_fract_z
Sr1 0.0000 0.0000 0.2343
Ag1 0.0000 0.0000 0.0000
P1 0.0000 0.0000 0.5000



Record 8
# Sr2AgP2 | Alexandria | PBE-GGA | relaxed
# total magnetization: 1.0 μB per formula unit
# polymorph energy (0 for the lowest one): 161 meV per atom
# crystal system: tetragonal
# DOS(E_F): 4.721 states/eV/cell
data_Sr2AgP2
_chemical_formula_sum 'Sr4 Ag2 P4'
_space_group_name_H-M_alt 'I 4/m m m'
_space_group_IT_number 139
_space_group_name_Hall '-I 4 2'
_cell_length_a 5.7355
_cell_length_b 5.7355
_cell_length_c 8.8730
_cell_angle_alpha 90.00
_cell_angle_beta 90.00
_cell_angle_gamma 90.00
loop_
_atom_site_label
_atom_site_fract_x
_atom_site_fract_y
_atom_site_fract_z
Sr1 0.0000 0.5000 0.2500
Ag1 0.0000 0.0000 0.0000
P1 0.0000 0.0000 0.3777



Record 9
# SrAgP | Alexandria | PBE-GGA | relaxed
# total magnetization: 0.0 μB per formula unit
# crystal system: orthorhombic
# electronic total energy: -0.146 hartree per atom
# DOS(E_F): 0.001 states/eV/cell
data_SrAgP
_chemical_formula_sum 'Sr2 Ag2 P2'
_space_group_name_H-M_alt 'P m n 21'
_space_group_IT_number 31
_cell_length_a 4.5160
_cell_length_b 5.2629
_cell_length_c 6.7095
_cell_angle_alpha 90.00
_cell_angle_beta 90.00
_cell_angle_gamma 90.00
loop_
_space_group_symop_operation_xyz
'x,y,z'
'-x+1/2,-y,z+1/2'
'-x,y,z'
'x+1/2,-y,z+1/2'
loop_
_atom_site_label
_atom_site_fract_x
_atom_site_fract_y
_atom_site_fract_z
Sr1 0.0000 0.1740 0.0000
Ag1 0.0000 0.3710 0.4676
P1 0.0000 0.6794 0.7751



Record 10
# SrAgP | Alexandria | PBE-GGA | relaxed
# total magnetization: 0.0 μB per formula unit
# crystal system: monoclinic
# electronic total energy: -0.147 hartree per atom
# DOS(E_F): 0.429 states/eV/cell
data_SrAgP
_chemical_formula_sum 'Sr6 Ag6 P6'
_space_group_name_H-M_alt 'P 1 21/m 1'
_space_group_IT_number 11
_cell_length_a 7.3856
_cell_length_b 4.3908
_cell_length_c 12.5505
_cell_angle_alpha 90.00
_cell_angle_beta 90.28
_cell_angle_gamma 90.00
loop_
_space_group_symop_operation_xyz
'x,y,z'
'-x,-y,-z'
'-x,y+1/2,-z'
'x,-y+1/2,z'
loop_
_atom_site_label
_atom_site_fract_x
_atom_site_fract_y
_atom_site_fract_z
Sr1 0.0224 0.2500 0.1241
Sr2 0.1586 0.2500 0.4197
Sr3 0.4769 0.7500 0.7954
Ag1 0.1487 0.2500 0.7042
Ag2 0.3504 0.7500 0.0418
Ag3 0.4921 0.7500 0.4119
P1 0.2318 0.7500 0.2513
P2 0.2600 0.7500 0.5895
P3 0.2670 0.2500 0.9244



Record 11
# SrAgP | Alexandria | PBE-GGA | relaxed
# total magnetization: 0.0 μB per formula unit
# crystal system: tetragonal
# electronic total energy: -0.144 hartree per atom
# DOS(E_F): 1.524 states/eV/cell
data_SrAgP
_chemical_formula_sum 'Sr4 Ag4 P4'
_space_group_name_H-M_alt 'I -4 m 2'
_space_group_IT_number 119
_space_group_name_Hall 'I -4 -2'
_cell_length_a 4.3646
_cell_length_b 4.3646
_cell_length_c 15.2429
_cell_angle_alpha 90.00
_cell_angle_beta 90.00
_cell_angle_gamma 90.00
loop_
_atom_site_label
_atom_site_fract_x
_atom_site_fract_y
_atom_site_fract_z
Sr1 0.0000 0.0000 0.0000
Sr2 0.0000 0.5000 0.2500
Ag1 0.0000 0.0000 0.4104
P1 0.0000 0.5000 0.6743



Record 12
# SrAgP | Alexandria | PBE-GGA | relaxed
# total magnetization: 0.0 μB per formula unit
# crystal system: tetragonal
# electronic total energy: -0.141 hartree per atom
# DOS(E_F): 0.043 states/eV/cell
data_SrAgP
_chemical_formula_sum 'Sr2 Ag2 P2'
_space_group_name_H-M_alt 'P 4/n m m'
_space_group_IT_number 129
_cell_length_a 6.0843
_cell_length_b 6.0843
_cell_length_c 4.7708
_cell_angle_alpha 90.00
_cell_angle_beta 90.00
_cell_angle_gamma 90.00
loop_
_space_group_symop_operation_xyz
'x,y,z'
'-x,-y,-z'
'-y+1/2,x,z'
'y+1/2,-x,-z'
'-x+1/2,-y+1/2,z'
'x+1/2,y+1/2,-z'
'y,-x+1/2,z'
'-y,x+1/2,-z'
'x+1/2,-y,-z'
'-x+1/2,y,z'
'-y,-x,-z'
'y,x,z'
'-x,y+1/2,-z'
'x,-y+1/2,z'
'y+1/2,x+1/2,-z'
'-y+1/2,-x+1/2,z'
loop_
_atom_site_label
_atom_site_fract_x
_atom_site_fract_y
_atom_site_fract_z
Sr1 0.2500 0.7500 0.0000
Ag1 0.2500 0.2500 0.4006
P1 0.2500 0.2500 0.8944



Record 13
# SrAg2P | Alexandria | PBE-GGA | relaxed
# total magnetization: 0.0 μB per formula unit
# crystal system: cubic
# electronic total energy: -0.123 hartree per atom
# DOS(E_F): 10.999 states/eV/cell
data_SrAg2P
_chemical_formula_sum 'Sr4 Ag8 P4'
_space_group_name_H-M_alt 'F -4 3 m'
_space_group_IT_number 216
_space_group_name_Hall 'F -4 2 3'
_cell_length_a 7.0619
_cell_length_b 7.0619
_cell_length_c 7.0619
_cell_angle_alpha 90.00
_cell_angle_beta 90.00
_cell_angle_gamma 90.00
loop_
_atom_site_label
_atom_site_fract_x
_atom_site_fract_y
_atom_site_fract_z
Sr1 0.0000 0.0000 0.0000
Ag1 0.0000 0.0000 0.5000
Ag2 0.2500 0.2500 0.2500
P1 0.2500 0.2500 0.7500



Record 14
# Sr6Ag2P | Alexandria | PBE-GGA | relaxed
# total magnetization: 0.0 μB per formula unit
# crystal system: monoclinic
# electronic total energy: -0.101 hartree per atom
# DOS(E_F): 10.789 states/eV/cell
data_Sr6Ag2P
_chemical_formula_sum 'Sr12 Ag4 P2'
_space_group_name_H-M_alt 'P 1 21/c 1'
_space_group_IT_number 14
_cell_length_a 7.5812
_cell_length_b 8.5007
_cell_length_c 13.4299
_cell_angle_alpha 90.00
_cell_angle_beta 123.75
_cell_angle_gamma 90.00
loop_
_space_group_symop_operation_xyz
'x,y,z'
'-x,-y,-z'
'-x,y+1/2,-z+1/2'
'x,-y+1/2,z+1/2'
loop_
_atom_site_label
_atom_site_fract_x
_atom_site_fract_y
_atom_site_fract_z
Sr1 0.1045 0.0398 0.2466
Sr2 0.2249 0.6893 0.0642
Sr3 0.3898 0.1755 0.0642
Ag1 0.3015 0.1105 0.7537
P1 0.0000 0.0000 0.0000



Record 15
# SrAg4P | Alexandria | PBE-GGA | relaxed
# total magnetization: 0.0 μB per formula unit
# crystal system: cubic
# electronic total energy: -0.116 hartree per atom
# DOS(E_F): 5.820 states/eV/cell
data_SrAg4P
_chemical_formula_sum 'Sr4 Ag16 P4'
_space_group_name_H-M_alt 'F -4 3 m'
_space_group_IT_number 216
_space_group_name_Hall 'F -4 2 3'
_cell_length_a 7.9795
_cell_length_b 7.9795
_cell_length_c 7.9795
_cell_angle_alpha 90.00
_cell_angle_beta 90.00
_cell_angle_gamma 90.00
loop_
_atom_site_label
_atom_site_fract_x
_atom_site_fract_y
_atom_site_fract_z
Sr1 0.0000 0.0000 0.0000
Ag1 0.1250 0.1250 0.6250
P1 0.2500 0.2500 0.2500



Record 16
# SrAgP3 | Alexandria | PBE-GGA | relaxed
# total magnetization: 0.0 μB per formula unit
# polymorph energy (0 for the lowest one): 0 meV per atom
# crystal system: cubic
# DOS(E_F): 3.974 states/eV/cell
data_SrAgP3
_chemical_formula_sum 'Sr1 Ag1 P3'
_space_group_name_H-M_alt 'P m -3 m'
_space_group_IT_number 221
_space_group_name_Hall '-P 4 2 3'
_cell_length_a 4.9194
_cell_length_b 4.9194
_cell_length_c 4.9194
_cell_angle_alpha 90.00
_cell_angle_beta 90.00
_cell_angle_gamma 90.00
loop_
_atom_site_label
_atom_site_fract_x
_atom_site_fract_y
_atom_site_fract_z
Sr1 0.0000 0.0000 0.0000
Ag1 0.5000 0.5000 0.5000
P1 0.0000 0.5000 0.5000



Record 17
# SrAg2P | Alexandria | PBE-GGA | relaxed
# total magnetization: 0.0 μB per formula unit
# crystal system: tetragonal
# electronic total energy: -0.124 hartree per atom
# DOS(E_F): 6.905 states/eV/cell
data_SrAg2P
_chemical_formula_sum 'Sr4 Ag8 P4'
_space_group_name_H-M_alt 'I -4 2 d'
_space_group_IT_number 122
_space_group_name_Hall 'I -4 2bw'
_cell_length_a 5.0449
_cell_length_b 5.0449
_cell_length_c 17.0329
_cell_angle_alpha 90.00
_cell_angle_beta 90.00
_cell_angle_gamma 90.00
loop_
_atom_site_label
_atom_site_fract_x
_atom_site_fract_y
_atom_site_fract_z
Sr1 0.0000 0.0000 0.0000
Ag1 0.0819 0.2500 0.6250
P1 0.0000 0.0000 0.5000



Record 18
# Sr2AgP | Alexandria | PBE-GGA | relaxed
# total magnetization: 0.0 μB per formula unit
# crystal system: tetragonal
# electronic total energy: -0.129 hartree per atom
# DOS(E_F): 2.313 states/eV/cell
data_Sr2AgP
_chemical_formula_sum 'Sr2 Ag1 P1'
_space_group_name_H-M_alt 'P 4/m m m'
_space_group_IT_number 123
_space_group_name_Hall '-P 4 2'
_cell_length_a 3.7994
_cell_length_b 3.7994
_cell_length_c 7.7285
_cell_angle_alpha 90.00
_cell_angle_beta 90.00
_cell_angle_gamma 90.00
loop_
_atom_site_label
_atom_site_fract_x
_atom_site_fract_y
_atom_site_fract_z
Sr1 0.0000 0.0000 0.2176
Ag1 0.5000 0.5000 0.5000
P1 0.5000 0.5000 0.0000



Record 19
# SrAg3P | Alexandria | PBE-GGA | relaxed
# total magnetization: 0.0 μB per formula unit
# polymorph energy (0 for the lowest one): 0 meV per atom
# crystal system: cubic
# DOS(E_F): 3.309 states/eV/cell
data_SrAg3P
_chemical_formula_sum 'Sr1 Ag3 P1'
_space_group_name_H-M_alt 'P m -3 m'
_space_group_IT_number 221
_space_group_name_Hall '-P 4 2 3'
_cell_length_a 4.9451
_cell_length_b 4.9451
_cell_length_c 4.9451
_cell_angle_alpha 90.00
_cell_angle_beta 90.00
_cell_angle_gamma 90.00
loop_
_atom_site_label
_atom_site_fract_x
_atom_site_fract_y
_atom_site_fract_z
Sr1 0.0000 0.0000 0.0000
Ag1 0.0000 0.5000 0.5000
P1 0.5000 0.5000 0.5000



Record 20
# SrTcAgP | Alexandria | PBE-GGA | relaxed
# total magnetization: 0.0 μB per formula unit
# crystal system: tetragonal
# electronic total energy: -0.206 hartree per atom
# DOS(E_F): 5.160 states/eV/cell
data_SrTcAgP
_chemical_formula_sum 'Sr2 Tc2 Ag2 P2'
_space_group_name_H-M_alt 'P 4/n m m'
_space_group_IT_number 129
_cell_length_a 4.0410
_cell_length_b 4.0410
_cell_length_c 11.0345
_cell_angle_alpha 90.00
_cell_angle_beta 90.00
_cell_angle_gamma 90.00
loop_
_space_group_symop_operation_xyz
'x,y,z'
'-x,-y,-z'
'-y+1/2,x,z'
'y+1/2,-x,-z'
'-x+1/2,-y+1/2,z'
'x+1/2,y+1/2,-z'
'y,-x+1/2,z'
'-y,x+1/2,-z'
'x+1/2,-y,-z'
'-x+1/2,y,z'
'-y,-x,-z'
'y,x,z'
'-x,y+1/2,-z'
'x,-y+1/2,z'
'y+1/2,x+1/2,-z'
'-y+1/2,-x+1/2,z'
loop_
_atom_site_label
_atom_site_fract_x
_atom_site_fract_y
_atom_site_fract_z
Sr1 0.2500 0.2500 0.2491
Tc1 0.2500 0.7500 0.0000
Ag1 0.2500 0.7500 0.5000
P1 0.2500 0.2500 0.8866